Below is a relaxed Ta3WBr crystal, with properties calculated at the PBE-GGA level.

As for the excess energy over the best structure of this formula in the dataset: 0.079 eV/atom. The calculation puts the energy relative to the elements, uncorrected at 1.75 eV/atom.

```
data_Ta3WBr
_chemical_formula_sum 'Ta3 W1 Br1'
_cell_length_a 4.649
_cell_length_b 4.649
_cell_length_c 4.649
_cell_angle_alpha 90.00
_cell_angle_beta 90.00
_cell_angle_gamma 90.00
_space_group_name_H-M_alt 'P m -3 m'
_space_group_IT_number 221
_space_group_name_Hall '-P 4 2 3'
loop_
_atom_site_label
_atom_site_fract_x
_atom_site_fract_y
_atom_site_fract_z
Ta1 0.000 0.000 0.500
W1 0.500 0.500 0.500
Br1 0.000 0.000 0.000
```